# GGA-PBE K4YNp3S8, relaxed
data_K4YNp3S8
_chemical_formula_sum 'K4 Y1 Np3 S8'
_symmetry_space_group_name_H-M 'P 1'
_symmetry_Int_Tables_number 1
_cell_length_a 8.739
_cell_length_b 8.739
_cell_length_c 8.739
_cell_angle_alpha 55.79
_cell_angle_beta 55.79
_cell_angle_gamma 55.79
loop_
_symmetry_equiv_pos_as_xyz
'x,y,z'
loop_
_atom_site_label
_atom_site_type_symbol
_atom_site_fract_x
_atom_site_fract_y
_atom_site_fract_z
_atom_site_occupancy
K1 K 0.000 0.000 0.000 1
K2 K 0.000 0.500 0.500 1
K3 K 0.500 0.000 0.500 1
K4 K 0.500 0.500 0.000 1
Y1 Y 0.500 0.500 0.500 1
Np1 Np 0.000 0.000 0.500 1
Np2 Np 0.000 0.500 0.000 1
Np3 Np 0.500 0.000 0.000 1
S1 S 0.233 0.233 0.233 1
S2 S 0.235 0.733 0.733 1
S3 S 0.267 0.267 0.765 1
S4 S 0.267 0.765 0.267 1
S5 S 0.733 0.235 0.733 1
S6 S 0.733 0.733 0.235 1
S7 S 0.765 0.267 0.267 1
S8 S 0.767 0.767 0.767 1
# - space-group type = R-3m, No. 166
# - size of the total moment (μB/cell) = 12.000
# - formation energy without anion corrections (eV/atom) = -1.514
# - DOS(E_F) (states/eV per cell) = 26.4